(a)
Density functional theory data (GGA-PBE) for a relaxed FeW4 crystal.

Structure (POSCAR):
```
FeW4
1.0
4.677 2.224 0.116
-4.890 0.386 1.664
1.261 -3.942 3.114
W Fe
4 1
Direct
0.600 0.797 0.397 W
0.203 0.600 0.803 W
0.400 0.203 0.603 W
0.797 0.400 0.197 W
0.000 0.000 0.000 Fe
```

---

(b)
Density functional theory data (GGA-PBE) for a relaxed FeW4 crystal.

Structure (POSCAR):
```
FeW4
1.0
-2.064 2.064 5.648
2.064 -2.064 5.648
2.064 2.064 -5.648
W Fe
4 1
Direct
0.750 0.250 0.500 W
0.614 0.614 0.000 W
0.386 0.386 0.000 W
0.250 0.750 0.500 W
0.000 0.000 0.000 Fe
```

---

(a) is the most stable structure; the next one sits 1.122 eV/atom above it.